(1)
# RbMgTlSb GGA-PBE optimized geometry
# total magnetic moment = 0.00 Bohr magnetons per cell
# E_tot = -2.5848 eV/atom
# theoretical density = 4.6 g/cm³
data_RbMgTlSb
_space_group_name_H-M_alt 'P 4/n m m'
_space_group_IT_number 129
_cell_length_a 4.638
_cell_length_b 4.638
_cell_length_c 14.608
_cell_angle_alpha 90.00
_cell_angle_beta 90.00
_cell_angle_gamma 90.00
loop_
_space_group_symop_operation_xyz
'x,y,z'
'-x,-y,-z'
'-y+1/2,x,z'
'y+1/2,-x,-z'
'-x+1/2,-y+1/2,z'
'x+1/2,y+1/2,-z'
'y,-x+1/2,z'
'-y,x+1/2,-z'
'x+1/2,-y,-z'
'-x+1/2,y,z'
'-y,-x,-z'
'y,x,z'
'-x,y+1/2,-z'
'x,-y+1/2,z'
'y+1/2,x+1/2,-z'
'-y+1/2,-x+1/2,z'
loop_
_atom_site_label
_atom_site_type_symbol
_atom_site_fract_x
_atom_site_fract_y
_atom_site_fract_z
Rb1 Rb 0.250 0.250 0.240
Mg1 Mg 0.250 0.750 0.000
Tl1 Tl 0.250 0.750 0.500
Sb1 Sb 0.250 0.250 0.880



(2)
# KLaTbGeO6 GGA-PBE optimized geometry
# total magnetic moment = 4.13 Bohr magnetons per cell
# E_tot = -6.8508 eV/atom
# theoretical density = 6.1 g/cm³
data_KLaTbGeO6
_space_group_name_H-M_alt 'F -4 3 m'
_space_group_IT_number 216
_space_group_name_Hall 'F -4 2 3'
_cell_length_a 8.216
_cell_length_b 8.216
_cell_length_c 8.216
_cell_angle_alpha 90.00
_cell_angle_beta 90.00
_cell_angle_gamma 90.00
loop_
_atom_site_label
_atom_site_type_symbol
_atom_site_fract_x
_atom_site_fract_y
_atom_site_fract_z
K1 K 0.000 0.000 0.000
La1 La 0.000 0.000 0.500
Tb1 Tb 0.250 0.250 0.750
Ge1 Ge 0.250 0.250 0.250
O1 O 0.019 0.250 0.250



(3)
# La2Zr2Si GGA-PBE optimized geometry
# total magnetic moment = 0.00 Bohr magnetons per cell
# E_tot = -6.5941 eV/atom
# theoretical density = 6.2 g/cm³
data_La2Zr2Si
_space_group_name_H-M_alt 'P 4/m b m'
_space_group_IT_number 127
_space_group_name_Hall '-P 4 2ab'
_cell_length_a 7.282
_cell_length_b 7.282
_cell_length_c 4.941
_cell_angle_alpha 90.00
_cell_angle_beta 90.00
_cell_angle_gamma 90.00
loop_
_atom_site_label
_atom_site_type_symbol
_atom_site_fract_x
_atom_site_fract_y
_atom_site_fract_z
La1 La 0.172 0.328 0.000
Zr1 Zr 0.148 0.648 0.500
Si1 Si 0.000 0.000 0.500



(4)
# TmHf2Th GGA-PBE optimized geometry
# total magnetic moment = 0.00 Bohr magnetons per cell
# E_tot = -7.8120 eV/atom
# theoretical density = 12.0 g/cm³
# energy of formation = 0.1375 eV/atom
data_TmHf2Th
_space_group_name_H-M_alt 'P 4/m m m'
_space_group_IT_number 123
_space_group_name_Hall '-P 4 2'
_cell_length_a 4.739
_cell_length_b 4.739
_cell_length_c 4.665
_cell_angle_alpha 90.00
_cell_angle_beta 90.00
_cell_angle_gamma 90.00
loop_
_atom_site_label
_atom_site_type_symbol
_atom_site_fract_x
_atom_site_fract_y
_atom_site_fract_z
Tm1 Tm 0.000 0.000 0.000
Hf1 Hf 0.000 0.500 0.500
Th1 Th 0.500 0.500 0.000



(5)
# Y2Rh GGA-PBE optimized geometry
# total magnetic moment = 0.00 Bohr magnetons per cell
# E_tot = -7.1319 eV/atom
# theoretical density = 6.2 g/cm³
# energy of formation = -0.3720 eV/atom
data_Y2Rh
_space_group_name_H-M_alt 'P -3 m 1'
_space_group_IT_number 164
_space_group_name_Hall '-P 3 2"'
_cell_length_a 4.5813
_cell_length_b 4.5813
_cell_length_c 4.1156
_cell_angle_alpha 90.00
_cell_angle_beta 90.00
_cell_angle_gamma 120.00
loop_
_atom_site_label
_atom_site_type_symbol
_atom_site_fract_x
_atom_site_fract_y
_atom_site_fract_z
Y1 Y 0.3333 0.6667 0.2634
Rh1 Rh 0.0000 0.0000 0.0000



(6)
# Al2SiHg GGA-PBE optimized geometry
# total magnetic moment = 0.00 Bohr magnetons per cell
# E_tot = -3.1159 eV/atom
# theoretical density = 6.4 g/cm³
data_Al2SiHg
_space_group_name_H-M_alt 'R -3 m'
_space_group_IT_number 166
_space_group_name_Hall '-R 3 2"'
_cell_length_a 3.2899
_cell_length_b 3.2899
_cell_length_c 23.5447
_cell_angle_alpha 90.00
_cell_angle_beta 90.00
_cell_angle_gamma 120.00
loop_
_atom_site_label
_atom_site_type_symbol
_atom_site_fract_x
_atom_site_fract_y
_atom_site_fract_z
Al1 Al 0.0000 0.0000 0.2438
Si1 Si 0.0000 0.0000 0.5000
Hg1 Hg 0.0000 0.0000 0.0000